Crystalline LaAgHg2 at its relaxed geometry. Source: the Alexandria database, functional PBE-GGA.

Unit cell a=5.2018 b=5.2018 c=5.2018 alpha=120.50 beta=120.61 gamma=89.04
Last column: nearest neighbours and their distance in Å.
Fractional coordinates of all 4 atoms:
Hg  0.9999  0.9999  0.0000  4 Ag 3.17-3.18, 4 Hg 3.17-3.18
Hg  0.7498  0.2498  0.5000  4 Hg 3.17-3.18, 4 La 3.18
Ag  0.2502  0.7502  0.5000  4 Hg 3.17-3.18, 4 La 3.18
La  0.5001  0.5001  0.0000  4 Ag 3.18, 4 Hg 3.18

Results
total magnetic moment: 0.00 Bohr magnetons per cell
total DFT energy (no corrections): -9.77 eV for the cell shown
formation energy: -0.347 eV/atom

Crystalline ScTl at its relaxed geometry. Source: the Alexandria database, functional PBE-GGA.

Unit cell a=8.3441 b=8.3441 c=5.3306 alpha=90.00 beta=90.00 gamma=120.00
Last column: nearest neighbours and their distance in Å.
Fractional coordinates of all 12 atoms:
Tl  0.6206  0.5318  0.2500  5 Sc 3.10-3.18, 4 Tl 3.22-3.25
Tl  0.0887  0.6206  0.7500  5 Sc 3.10-3.18, 4 Tl 3.22-3.25
Tl  0.3794  0.4682  0.7500  5 Sc 3.10-3.18, 4 Tl 3.22-3.25
Tl  0.4682  0.0887  0.2500  5 Sc 3.10-3.18, 4 Tl 3.22-3.25
Tl  0.9113  0.3794  0.2500  5 Sc 3.10-3.18, 4 Tl 3.22-3.25
Tl  0.5318  0.9113  0.7500  5 Sc 3.10-3.18, 4 Tl 3.22-3.25
Sc  0.1959  0.2435  0.2500  5 Tl 3.10-3.18, 6 Sc 3.23-3.25
Sc  0.9524  0.1959  0.7500  5 Tl 3.10-3.18, 6 Sc 3.23-3.25
Sc  0.8041  0.7565  0.7500  5 Tl 3.10-3.18, 6 Sc 3.23-3.25
Sc  0.2435  0.0476  0.7500  5 Tl 3.10-3.18, 6 Sc 3.23-3.25
Sc  0.7565  0.9524  0.2500  5 Tl 3.10-3.18, 6 Sc 3.23-3.25
Sc  0.0476  0.8041  0.2500  5 Tl 3.10-3.18, 6 Sc 3.23-3.25

Results
total magnetic moment: 0.00 Bohr magnetons per cell
total DFT energy (no corrections): -52.84 eV for the cell shown
formation energy: -0.055 eV/atom

Crystalline Na2Ti2F7 at its relaxed geometry. Source: the Alexandria database, functional PBE-GGA.

Unit cell a=5.8723 b=5.8217 c=5.8217 alpha=116.37 beta=96.98 gamma=96.98
Last column: nearest neighbours and their distance in Å.
Fractional coordinates of all 11 atoms:
F  0.2715  0.9256  0.5927  1 Ti 1.92
F  0.0000  0.0000  0.0000  2 Ti 2.03
F  0.7285  0.0744  0.4073  1 Ti 1.92
F  0.2493  0.4162  0.4162  2 Ti 2.01-2.15
F  0.7285  0.4073  0.0744  1 Ti 1.92
F  0.2715  0.5927  0.9256  1 Ti 1.92
F  0.7507  0.5838  0.5838  2 Ti 2.01-2.15
Na  0.5000  0.6894  0.3106  6 F 2.26-2.37
Na  0.5000  0.3106  0.6894  6 F 2.26-2.37
Ti  0.8999  0.2959  0.2959  5 F 1.92-2.15
Ti  0.1001  0.7041  0.7041  5 F 1.92-2.15

Results
total magnetic moment: 1.04 Bohr magnetons per cell
total DFT energy (no corrections): -64.17 eV for the cell shown
formation energy without anion corrections: -2968 meV/atom

Crystalline Y4Al5Si2 at its relaxed geometry. Source: the Alexandria database, functional PBE-GGA.

Unit cell a=4.3345 b=6.8616 c=8.0258 alpha=87.06 beta=90.00 gamma=90.00
Last column: nearest neighbours and their distance in Å.
Fractional coordinates of all 11 atoms:
Al  0.0000  0.8623  0.1278  1 Si 2.51, 2 Al 2.72-2.74
Al  0.0000  0.5491  0.6621  1 Si 2.53, 2 Al 2.72
Al  0.0000  0.1377  0.8722  1 Si 2.51, 2 Al 2.72-2.74
Al  0.0000  0.5000  0.0000  4 Al 2.72-2.74
Al  0.0000  0.4509  0.3379  1 Si 2.53, 2 Al 2.72
Y  0.5000  0.2402  0.5954  4 Si 3.07-3.10, 6 Al 3.10-3.28
Y  0.5000  0.7598  0.4046  4 Si 3.07-3.10, 6 Al 3.10-3.28
Y  0.5000  0.7865  0.8638  2 Si 2.97, 8 Al 3.09-3.24
Y  0.5000  0.2135  0.1362  2 Si 2.97, 8 Al 3.09-3.24
Si  0.0000  0.0814  0.3682  1 Si 2.34, 2 Al 2.51-2.53
Si  0.0000  0.9186  0.6318  1 Si 2.34, 2 Al 2.51-2.53

Results
total magnetic moment: 0.00 Bohr magnetons per cell
total DFT energy (no corrections): -61.28 eV for the cell shown
formation energy without anion corrections: -533 meV/atom

Crystalline AcHgAsO at its relaxed geometry. Source: the Alexandria database, functional PBE-GGA.

Unit cell a=4.3796 b=4.3796 c=9.3924 alpha=90.00 beta=90.00 gamma=90.00
Last column: nearest neighbours and their distance in Å.
Fractional coordinates of all 8 atoms:
As  0.0000  0.5000  0.8078  4 Hg 2.84
As  0.5000  0.0000  0.1922  4 Hg 2.84
O  0.0000  0.0000  0.5000  4 Ac 2.51
O  0.5000  0.5000  0.5000  4 Ac 2.51
Ac  0.0000  0.5000  0.3698  4 O 2.51
Ac  0.5000  0.0000  0.6302  4 O 2.51
Hg  0.0000  0.0000  0.0000  4 As 2.84, 4 Hg 3.10
Hg  0.5000  0.5000  0.0000  4 As 2.84, 4 Hg 3.10

Results
total magnetic moment: 0.00 Bohr magnetons per cell
total DFT energy (no corrections): -41.19 eV for the cell shown
formation energy without anion corrections: -1645 meV/atom

Crystalline TaCdRuRh at its relaxed geometry. Source: the Alexandria database, functional PBE-GGA.

Unit cell a=4.5027 b=4.5027 c=4.5027 alpha=60.00 beta=60.00 gamma=60.00
Last column: nearest neighbours and their distance in Å.
Fractional coordinates of all 4 atoms:
Ta  0.5000  0.5000  0.5000  4 Ru 2.76, 4 Rh 2.76
Cd  0.0000  0.0000  0.0000  4 Ru 2.76, 4 Rh 2.76
Ru  0.7500  0.7500  0.7500  4 Ta 2.76, 4 Cd 2.76
Rh  0.2500  0.2500  0.2500  4 Cd 2.76, 4 Ta 2.76

Results
total magnetic moment: 0.00 Bohr magnetons per cell
total DFT energy (no corrections): -30.42 eV for the cell shown
formation energy: -0.255 eV/atom

Crystalline PmPr3Dy2S6 at its relaxed geometry. Source: the Alexandria database, functional PBE-GGA.

Unit cell a=6.9488 b=6.9488 c=7.0307 alpha=99.47 beta=99.47 gamma=120.14
Last column: nearest neighbours and their distance in Å.
Fractional coordinates of all 12 atoms:
S  0.5807  0.9214  0.7640  2 Dy 2.77-2.78, 1 Pm 2.84, 3 Pr 2.89-2.92
S  0.2630  0.2630  0.7668  2 Dy 2.76, 1 Pm 2.83, 3 Pr 2.87-2.91
S  0.9214  0.5807  0.7640  2 Dy 2.77-2.78, 1 Pm 2.84, 3 Pr 2.89-2.92
S  0.0786  0.4193  0.2360  2 Dy 2.77-2.78, 1 Pm 2.84, 3 Pr 2.89-2.92
S  0.7370  0.7370  0.2332  2 Dy 2.76, 1 Pm 2.83, 3 Pr 2.87-2.91
S  0.4193  0.0786  0.2360  2 Dy 2.77-2.78, 1 Pm 2.84, 3 Pr 2.89-2.92
Pr  0.5000  0.5000  0.5000  6 S 2.87-2.92
Pr  0.8366  0.1634  0.5000  6 S 2.89-2.92
Pr  0.1634  0.8366  0.5000  6 S 2.89-2.92
Dy  0.3336  0.6664  0.0000  6 S 2.76-2.78
Dy  0.6664  0.3336  0.0000  6 S 2.76-2.78
Pm  0.0000  0.0000  0.0000  6 S 2.83-2.84

Results
total magnetic moment: 0.00 Bohr magnetons per cell
total DFT energy (no corrections): -77.29 eV for the cell shown
formation energy without anion corrections: -2019 meV/atom

Crystalline BaNdTm2 at its relaxed geometry. Source: the Alexandria database, functional PBE-GGA.

Unit cell a=3.7165 b=3.7165 c=10.7039 alpha=90.00 beta=90.00 gamma=90.00
Last column: nearest neighbours and their distance in Å.
Fractional coordinates of all 4 atoms:
Ba  0.5000  0.5000  0.5000  4 Ba 3.72, 8 Tm 3.99
Tm  0.0000  0.0000  0.2193  4 Nd 3.52, 4 Tm 3.72
Tm  0.0000  0.0000  0.7807  4 Nd 3.52, 4 Tm 3.72
Nd  0.5000  0.5000  0.0000  8 Tm 3.52, 4 Nd 3.72

Results
total magnetic moment: 0.00 Bohr magnetons per cell
total DFT energy (no corrections): -14.94 eV for the cell shown
formation energy: 0.172 eV/atom

Crystalline Nd2HfCd at its relaxed geometry. Source: the Alexandria database, functional PBE-GGA.

Unit cell a=3.4653 b=3.4653 c=9.3905 alpha=90.00 beta=90.00 gamma=90.00
Last column: nearest neighbours and their distance in Å.
Fractional coordinates of all 4 atoms:
Nd  0.0000  0.0000  0.7508  4 Cd 3.39, 4 Hf 3.40, 4 Nd 3.47
Nd  0.0000  0.0000  0.2492  4 Cd 3.39, 4 Hf 3.40, 4 Nd 3.47
Cd  0.5000  0.5000  0.0000  8 Nd 3.39, 4 Cd 3.47
Hf  0.5000  0.5000  0.5000  8 Nd 3.40, 4 Hf 3.47

Results
total magnetic moment: 0.00 Bohr magnetons per cell
total DFT energy (no corrections): -20.52 eV for the cell shown
formation energy: -0.030 eV/atom

Crystalline Rb2GeMoI6 at its relaxed geometry. Source: the Alexandria database, functional PBE-GGA.

Unit cell a=8.3438 b=8.3438 c=8.3571 alpha=60.05 beta=60.05 gamma=90.00
Last column: nearest neighbours and their distance in Å.
Fractional coordinates of all 10 atoms:
Rb  0.7500  0.2500  0.5000  12 I 4.17-4.18
Rb  0.2500  0.7500  0.5000  12 I 4.17-4.18
I  0.2441  0.7559  0.0000  1 Mo 2.88, 1 Ge 3.02
I  0.7556  0.7556  0.4888  1 Mo 2.89, 1 Ge 3.03
I  0.2441  0.2441  0.0000  1 Mo 2.88, 1 Ge 3.02
I  0.7559  0.2441  0.0000  1 Mo 2.88, 1 Ge 3.02
I  0.7559  0.7559  0.0000  1 Mo 2.88, 1 Ge 3.02
I  0.2444  0.2444  0.5112  1 Mo 2.89, 1 Ge 3.03
Mo  0.0000  0.0000  0.0000  6 I 2.88-2.89
Ge  0.5000  0.5000  0.0000  6 I 3.02-3.03

Results
total magnetic moment: 4.00 Bohr magnetons per cell
total DFT energy (no corrections): -32.48 eV for the cell shown
formation energy without anion corrections: -580 meV/atom